# 1
Density functional theory data (GGA-PBE) for BaRe2S after structural relaxation.

```
data_BaRe2S
_cell_length_a 4.970
_cell_length_b 4.970
_cell_length_c 8.890
_cell_angle_alpha 73.77
_cell_angle_beta 73.77
_cell_angle_gamma 90.00
_symmetry_space_group_name_H-M 'P 1'
_symmetry_Int_Tables_number 1
loop_
_symmetry_equiv_pos_as_xyz
'x,y,z'
loop_
_atom_site_label
_atom_site_type_symbol
_atom_site_fract_x
_atom_site_fract_y
_atom_site_fract_z
Re1 Re 0.375 0.125 0.250
Re2 Re 0.375 0.625 0.250
Re3 Re 0.375 0.625 0.750
Re4 Re 0.875 0.625 0.750
S1 S 0.500 0.500 0.000
S2 S 0.250 0.750 0.500
Ba1 Ba 0.000 0.000 0.000
Ba2 Ba 0.750 0.250 0.500
```

Summary:
SG = I4_1/amd (141)

=====

# 2
Density functional theory data (GGA-PBE) for BaReS3 after structural relaxation.

```
data_BaReS3
_cell_length_a 6.281
_cell_length_b 8.501
_cell_length_c 8.671
_cell_angle_alpha 99.66
_cell_angle_beta 90.00
_cell_angle_gamma 90.00
_symmetry_space_group_name_H-M 'P 1'
_symmetry_Int_Tables_number 1
loop_
_symmetry_equiv_pos_as_xyz
'x,y,z'
loop_
_atom_site_label
_atom_site_type_symbol
_atom_site_fract_x
_atom_site_fract_y
_atom_site_fract_z
Ba1 Ba 0.867 0.633 0.218
Ba2 Ba 0.133 0.367 0.782
Ba3 Ba 0.367 0.367 0.282
Ba4 Ba 0.633 0.633 0.718
Re1 Re 0.262 0.934 0.596
Re2 Re 0.738 0.066 0.404
Re3 Re 0.762 0.066 0.904
Re4 Re 0.238 0.934 0.096
S1 S 0.085 0.964 0.340
S2 S 0.915 0.036 0.660
S3 S 0.585 0.036 0.160
S4 S 0.415 0.964 0.840
S5 S 0.567 0.831 0.453
S6 S 0.433 0.169 0.547
S7 S 0.067 0.169 0.047
S8 S 0.933 0.831 0.953
S9 S 0.156 0.656 0.560
S10 S 0.844 0.344 0.440
S11 S 0.656 0.344 0.940
S12 S 0.344 0.656 0.060
```

Summary:
distance to the lowest polymorph of the same formula = 0.000 eV/atom
SG = P2_1/c (14)

=====

# 3
Density functional theory data (GGA-PBE) for BaRe4S7 after structural relaxation.

```
data_BaRe4S7
_cell_length_a 6.850
_cell_length_b 5.095
_cell_length_c 15.365
_cell_angle_alpha 90.00
_cell_angle_beta 90.00
_cell_angle_gamma 90.00
_symmetry_space_group_name_H-M 'P 1'
_symmetry_Int_Tables_number 1
loop_
_symmetry_equiv_pos_as_xyz
'x,y,z'
loop_
_atom_site_label
_atom_site_type_symbol
_atom_site_fract_x
_atom_site_fract_y
_atom_site_fract_z
Ba1 Ba 0.489 0.806 0.500
Ba2 Ba 0.989 0.194 0.000
Re1 Re 0.634 0.685 0.861
Re2 Re 0.095 0.795 0.284
Re3 Re 0.595 0.205 0.216
Re4 Re 0.134 0.315 0.639
Re5 Re 0.134 0.315 0.361
Re6 Re 0.634 0.685 0.139
Re7 Re 0.095 0.795 0.716
Re8 Re 0.595 0.205 0.784
S1 S 0.976 0.700 0.145
S2 S 0.476 0.300 0.355
S3 S 0.419 0.345 0.900
S4 S 0.919 0.655 0.600
S5 S 0.919 0.655 0.400
S6 S 0.419 0.345 0.100
S7 S 0.396 0.842 0.772
S8 S 0.896 0.158 0.728
S9 S 0.896 0.158 0.272
S10 S 0.396 0.842 0.228
S11 S 0.625 0.820 0.000
S12 S 0.125 0.180 0.500
S13 S 0.976 0.700 0.855
S14 S 0.476 0.300 0.645
```

Summary:
SG = Pmn2_1 (31)

=====

# 4
Density functional theory data (GGA-PBE) for BaRe3S after structural relaxation.

```
data_BaRe3S
_cell_length_a 4.608
_cell_length_b 4.608
_cell_length_c 4.608
_cell_angle_alpha 90.00
_cell_angle_beta 90.00
_cell_angle_gamma 90.00
_symmetry_space_group_name_H-M 'P 1'
_symmetry_Int_Tables_number 1
loop_
_symmetry_equiv_pos_as_xyz
'x,y,z'
loop_
_atom_site_label
_atom_site_type_symbol
_atom_site_fract_x
_atom_site_fract_y
_atom_site_fract_z
Re1 Re 0.000 0.500 0.000
Re2 Re 0.000 0.000 0.500
Re3 Re 0.500 0.000 0.000
S1 S 0.000 0.000 0.000
Ba1 Ba 0.500 0.500 0.500
```

Summary:
distance to the lowest polymorph of the same formula = 0.000 eV/atom
SG = Pm-3m (221)

=====

# 5
Density functional theory data (GGA-PBE) for BaRe2S2 after structural relaxation.

```
data_BaRe2S2
_cell_length_a 8.152
_cell_length_b 8.152
_cell_length_c 3.032
_cell_angle_alpha 90.00
_cell_angle_beta 90.00
_cell_angle_gamma 90.00
_symmetry_space_group_name_H-M 'P 1'
_symmetry_Int_Tables_number 1
loop_
_symmetry_equiv_pos_as_xyz
'x,y,z'
loop_
_atom_site_label
_atom_site_type_symbol
_atom_site_fract_x
_atom_site_fract_y
_atom_site_fract_z
Re1 Re 0.112 0.612 0.500
Re2 Re 0.612 0.888 0.500
Re3 Re 0.888 0.388 0.500
Re4 Re 0.388 0.112 0.500
S1 S 0.373 0.873 0.000
S2 S 0.873 0.627 0.000
S3 S 0.627 0.127 0.000
S4 S 0.127 0.373 0.000
Ba1 Ba 0.000 0.000 0.000
Ba2 Ba 0.500 0.500 0.000
```

Summary:
distance to the lowest polymorph of the same formula = 0.891 eV/atom
SG = P4/mbm (127)

=====

# 6
Density functional theory data (GGA-PBE) for BaRe2SeS after structural relaxation.

```
data_BaRe2SeS
_cell_length_a 4.600
_cell_length_b 6.421
_cell_length_c 4.600
_cell_angle_alpha 90.00
_cell_angle_beta 90.00
_cell_angle_gamma 90.00
_symmetry_space_group_name_H-M 'P 1'
_symmetry_Int_Tables_number 1
loop_
_symmetry_equiv_pos_as_xyz
'x,y,z'
loop_
_atom_site_label
_atom_site_type_symbol
_atom_site_fract_x
_atom_site_fract_y
_atom_site_fract_z
Re1 Re 0.000 0.000 0.500
Re2 Re 0.500 0.000 0.000
S1 S 0.000 0.500 0.000
Ba1 Ba 0.500 0.500 0.500
Se1 Se 0.000 0.000 0.000
```

Summary:
SG = P4/mmm (123)

=====

| no. | formation energy (no corrections) (eV per atom) |
| --- | --- |
| 1 | 0.5235 |
| 2 | -0.8620 |
| 3 | -0.2581 |
| 4 | 1.2068 |
| 5 | 0.5383 |
| 6 | 0.9227 |